1.
DFT (PBE) results for crystalline Tl6Hg10Pd at its relaxed geometry.

Summary:
**Fermi-level density of states**: 6.1 states/eV/f.u.
**Total DFT energy (no corrections)**: -1.305 eV/atom
**Energy relative to the elements**: 0.01 eV/atom
**Total magnetization**: 0.00 Bohr magnetons per cell

a b c (Å): 9.4211 9.4211 6.2018
angles (deg): 90.00 90.00 120.00
Space group P-31m (No. 162)
Inequivalent atoms, fractional coordinates:
1 Tl 0.0000 0.3919 0.2402 x6
2 Hg 0.0000 0.2335 0.7187 x6
3 Hg 0.3333 0.6667 0.0000 x2
4 Hg 0.3333 0.6667 0.5000 x2
5 Pd 0.0000 0.0000 0.0000 x1



2.
DFT (PBE) results for crystalline Tl2HgPd2 at its relaxed geometry.

Summary:
**Fermi-level density of states**: 2.0 states/eV/f.u.
**Total DFT energy (no corrections)**: -3.184 eV/atom
**Relative energy among the computed polymorphs**: 0.010 eV/atom
**Energy relative to the elements**: -0.10 eV/atom
**Total magnetization**: 0.00 Bohr magnetons per cell

a b c (Å): 4.5712 5.8296 8.3050
angles (deg): 90.00 90.00 90.00
Space group Immm (No. 71)
Inequivalent atoms, fractional coordinates:
1 Tl 0.0000 0.0000 0.1948 x4
2 Hg 0.0000 0.5000 0.0000 x2
3 Pd 0.0000 0.2661 0.5000 x4



- Which of these has the lowest total DFT energy (no corrections)?
  Tl2HgPd2



- Among the records above, which one has the lowest total DFT energy (no corrections)?
  Tl2HgPd2